Material: Ta2SbAu
Method: DFT, PBE
State: relaxed

Cell lengths 2.9536, 4.5654, 5.7600 Å; angles 90.00, 102.09, 90.00 degrees
Closest atoms and distances in Å follow each position.
Space group Pm (No. 6)
One atom of each set of equivalent atoms:
1 Ta 0.0000 0.0000 0.0000 (multiplicity 1)  3 Sb 2.86-3.17, 4 Ta 2.95-3.00, 4 Au 2.97-2.98
2 Ta 0.2728 0.5000 0.7211 (multiplicity 1)  1 Au 2.79, 4 Ta 2.95-3.00, 4 Sb 2.99-3.02
3 Sb 0.6910 0.0000 0.4949 (multiplicity 1)  2 Au 2.78, 5 Ta 2.86-3.02, 2 Sb 2.95
4 Au 0.5836 0.5000 0.2132 (multiplicity 1)  2 Sb 2.78, 5 Ta 2.79-2.98, 2 Au 2.95

Results
The calculation puts the raw formation energy at 0.140 eV/atom. For the total magnetization, the calculation gives 0.000 μB/cell.